[1]
VASP calculation (meta-GGA SCAN) on Sr2AsRu at its PBEsol-relaxed geometry.

```
Sr2AsRu
1.0
5.7289 -1.9928 0.0000
5.7289 1.9928 0.0000
-2.1592 0.0000 4.4898
Sr As Ru
2 1 1
Direct
0.0000 0.0000 0.0000
0.2101 0.2101 0.7093
0.4374 0.4374 0.4375
0.8165 0.8165 0.3159
```

Properties
Density of states at the Fermi level = 0.57 states/eV per atom
Formation enthalpy at 0 K = -1.3 eV per formula unit

---

[2]
VASP calculation (meta-GGA SCAN) on SrZn2AsRu at its PBEsol-relaxed geometry.

```
SrZn2AsRu
1.0
4.8549 0.0000 0.0000
0.0000 4.8549 0.0000
0.0000 0.0000 4.6225
Sr Zn As Ru
1 2 1 1
Direct
0.0000 0.0000 0.0000
0.0000 0.5000 0.5000
0.5000 0.0000 0.5000
0.5000 0.5000 0.5000
0.5000 0.5000 0.0000
```

Properties
Density of states at the Fermi level = 0.41 states/eV per atom
Formation enthalpy at 0 K = 1.2 eV per formula unit

---

[3]
VASP calculation (meta-GGA SCAN) on TaAsRu2 at its PBEsol-relaxed geometry.

```
TaAsRu2
1.0
1.4111 0.8147 8.5868
-1.4111 0.8147 8.5868
0.0000 -1.6294 8.5868
Ta As Ru
1 1 2
Direct
0.0000 0.0000 0.0000
0.2458 0.2458 0.2458
0.5024 0.5024 0.5024
0.7548 0.7548 0.7548
```

Properties
Density of states at the Fermi level = 0.56 states/eV per atom
Formation enthalpy at 0 K = 0.3 eV per formula unit